Record 1
DFT (PBE-GGA) results for a relaxed AlBi3I crystal.

Properties
raw total energy = -2.9546 eV per atom
formation energy (no corrections) = 0.43 eV/atom

abc: 5.565 5.565 5.565
angles: 90.00 90.00 90.00
Space group Pm-3m (No. 221)
Symmetry-distinct sites (fractional):
Al  0.000  0.000  0.000 [1 per cell]
Bi  0.000  0.000  0.500 [3 per cell]
I  0.500  0.500  0.500 [1 per cell]



Record 2
DFT (PBE-GGA) results for a relaxed Al2Bi2I crystal.

Properties
raw total energy = -3.3862 eV per atom
formation energy (no corrections) = -0.03 eV/atom

abc: 4.124 4.124 17.711
angles: 90.00 90.00 90.00
Space group I4/mmm (No. 139)
Symmetry-distinct sites (fractional):
Al  0.000  0.500  0.250 [4 per cell]
Bi  0.000  0.000  0.132 [4 per cell]
I  0.000  0.000  0.500 [2 per cell]



Record 3
DFT (PBE-GGA) results for a relaxed Al2BiIrI crystal.

Properties
raw total energy = -2.5298 eV per atom
formation energy (no corrections) = 1.83 eV/atom

abc: 5.221 5.221 5.791
angles: 90.00 90.00 90.00
Space group P4/mmm (No. 123)
Symmetry-distinct sites (fractional):
Al  0.000  0.500  0.000 [2 per cell]
Bi  0.000  0.000  0.500 [1 per cell]
Ir  0.500  0.500  0.500 [1 per cell]
I  0.000  0.000  0.000 [1 per cell]



Record 4
DFT (PBE-GGA) results for a relaxed MgAlBi2I crystal.

Properties
raw total energy = -2.4288 eV per atom
formation energy (no corrections) = 0.50 eV/atom

abc: 5.567 5.567 5.530
angles: 90.00 90.00 90.00
Space group P4/mmm (No. 123)
Symmetry-distinct sites (fractional):
Mg  0.000  0.000  0.000 [1 per cell]
Al  0.000  0.000  0.500 [1 per cell]
Bi  0.000  0.500  0.000 [2 per cell]
I  0.500  0.500  0.500 [1 per cell]



Record 5
DFT (PBE-GGA) results for a relaxed AlBiI2N crystal.

Properties
raw total energy = -3.1237 eV per atom
formation energy (no corrections) = 0.69 eV/atom

abc: 6.408 6.408 4.271
angles: 90.00 90.00 90.00
Space group P4/mmm (No. 123)
Symmetry-distinct sites (fractional):
Al  0.000  0.000  0.000 [1 per cell]
Bi  0.500  0.500  0.500 [1 per cell]
I  0.000  0.500  0.500 [2 per cell]
N  0.500  0.500  0.000 [1 per cell]



Record 6
DFT (PBE-GGA) results for a relaxed AlBiIN2 crystal.

Properties
raw total energy = -3.7087 eV per atom
formation energy (no corrections) = 1.46 eV/atom

abc: 4.431 4.431 7.002
angles: 90.00 90.00 90.00
Space group P4/mmm (No. 123)
Symmetry-distinct sites (fractional):
Al  0.000  0.000  0.000 [1 per cell]
Bi  0.500  0.500  0.500 [1 per cell]
I  0.500  0.500  0.000 [1 per cell]
N  0.000  0.500  0.500 [2 per cell]



Record 7
DFT (PBE-GGA) results for a relaxed AlBiI2N crystal.

Properties
raw total energy = -3.6216 eV per atom
formation energy (no corrections) = 0.19 eV/atom

abc: 6.000 6.000 3.569
angles: 90.00 90.00 90.00
Space group P4/mmm (No. 123)
Symmetry-distinct sites (fractional):
Al  0.000  0.000  0.000 [1 per cell]
Bi  0.500  0.500  0.500 [1 per cell]
I  0.000  0.500  0.000 [2 per cell]
N  0.000  0.000  0.500 [1 per cell]



Record 8
DFT (PBE-GGA) results for a relaxed AlBiIN2 crystal.

Properties
raw total energy = -4.0879 eV per atom
formation energy (no corrections) = 1.08 eV/atom

abc: 4.166 4.166 5.352
angles: 90.00 90.00 90.00
Space group P4/mmm (No. 123)
Symmetry-distinct sites (fractional):
Al  0.000  0.000  0.000 [1 per cell]
Bi  0.500  0.500  0.500 [1 per cell]
I  0.000  0.000  0.500 [1 per cell]
N  0.000  0.500  0.000 [2 per cell]



Record 9
DFT (PBE-GGA) results for a relaxed AlBiIO2 crystal.

Properties
raw total energy = -4.0130 eV per atom
formation energy (no corrections) = -0.20 eV/atom

abc: 4.360 4.360 6.631
angles: 90.00 90.00 90.00
Space group P4/mmm (No. 123)
Symmetry-distinct sites (fractional):
Al  0.000  0.000  0.000 [1 per cell]
Bi  0.500  0.500  0.500 [1 per cell]
I  0.500  0.500  0.000 [1 per cell]
O  0.000  0.500  0.500 [2 per cell]



Record 10
DFT (PBE-GGA) results for a relaxed AlBiIO2 crystal.

Properties
raw total energy = -4.2880 eV per atom
formation energy (no corrections) = -0.47 eV/atom

abc: 4.152 4.152 5.245
angles: 90.00 90.00 90.00
Space group P4/mmm (No. 123)
Symmetry-distinct sites (fractional):
Al  0.000  0.000  0.000 [1 per cell]
Bi  0.500  0.500  0.500 [1 per cell]
I  0.000  0.000  0.500 [1 per cell]
O  0.000  0.500  0.000 [2 per cell]



Record 11
DFT (PBE-GGA) results for a relaxed AlBiPdI2 crystal.

Properties
raw total energy = -2.9778 eV per atom
formation energy (no corrections) = 0.21 eV/atom

abc: 5.618 5.618 4.800
angles: 90.00 90.00 90.00
Space group P4/mmm (No. 123)
Symmetry-distinct sites (fractional):
Al  0.000  0.000  0.000 [1 per cell]
Bi  0.500  0.500  0.000 [1 per cell]
Pd  0.000  0.000  0.500 [1 per cell]
I  0.000  0.500  0.500 [2 per cell]



Record 12
DFT (PBE-GGA) results for a relaxed AlBi2PtI crystal.

Properties
raw total energy = -2.3785 eV per atom
formation energy (no corrections) = 1.44 eV/atom

abc: 5.823 5.823 5.359
angles: 90.00 90.00 90.00
Space group P4/mmm (No. 123)
Symmetry-distinct sites (fractional):
Al  0.000  0.000  0.000 [1 per cell]
Bi  0.000  0.500  0.500 [2 per cell]
Pt  0.500  0.500  0.000 [1 per cell]
I  0.000  0.000  0.500 [1 per cell]



Record 13
DFT (PBE-GGA) results for a relaxed Rb2AlBiI6 crystal.

Properties
raw total energy = -2.6828 eV per atom
formation energy (no corrections) = -0.80 eV/atom

abc: 8.637 8.637 12.199
angles: 90.00 90.00 90.00
Space group I4/mmm (No. 139)
Symmetry-distinct sites (fractional):
Rb  0.000  0.500  0.250 [4 per cell]
Al  0.000  0.000  0.000 [2 per cell]
Bi  0.000  0.000  0.500 [2 per cell]
I  0.000  0.000  0.243 [4 per cell]
I  0.243  0.243  0.000 [8 per cell]



Record 14
DFT (PBE-GGA) results for a relaxed AlBiSb2I crystal.

Properties
raw total energy = -2.7043 eV per atom
formation energy (no corrections) = 0.78 eV/atom

abc: 5.857 5.857 6.321
angles: 90.00 90.00 90.00
Space group P4/mmm (No. 123)
Symmetry-distinct sites (fractional):
Al  0.000  0.000  0.000 [1 per cell]
Bi  0.500  0.500  0.500 [1 per cell]
Sb  0.000  0.500  0.500 [2 per cell]
I  0.500  0.500  0.000 [1 per cell]



Record 15
DFT (PBE-GGA) results for a relaxed AlBiSb2I crystal.

Properties
raw total energy = -3.0916 eV per atom
formation energy (no corrections) = 0.39 eV/atom

abc: 5.434 5.434 5.290
angles: 90.00 90.00 90.00
Space group P4/mmm (No. 123)
Symmetry-distinct sites (fractional):
Al  0.000  0.000  0.000 [1 per cell]
Bi  0.500  0.500  0.500 [1 per cell]
Sb  0.000  0.500  0.000 [2 per cell]
I  0.000  0.000  0.500 [1 per cell]



Record 16
DFT (PBE-GGA) results for a relaxed AlSiBiI2 crystal.

Properties
raw total energy = -2.7452 eV per atom
formation energy (no corrections) = 0.48 eV/atom

abc: 5.572 5.572 5.623
angles: 90.00 90.00 90.00
Space group P4/mmm (No. 123)
Symmetry-distinct sites (fractional):
Al  0.000  0.000  0.000 [1 per cell]
Si  0.500  0.500  0.500 [1 per cell]
Bi  0.500  0.500  0.000 [1 per cell]
I  0.000  0.500  0.500 [2 per cell]



Record 17
DFT (PBE-GGA) results for a relaxed Al2VBiI crystal.

Properties
raw total energy = -2.8125 eV per atom
formation energy (no corrections) = 1.59 eV/atom

abc: 5.554 5.554 6.172
angles: 90.00 90.00 90.00
Space group P4/mmm (No. 123)
Symmetry-distinct sites (fractional):
Al  0.000  0.500  0.000 [2 per cell]
V  0.000  0.000  0.500 [1 per cell]
Bi  0.500  0.500  0.000 [1 per cell]
I  0.500  0.500  0.500 [1 per cell]



Record 18
DFT (PBE-GGA) results for a relaxed AlIn2Bi crystal.

Properties
formation energy from the elements = 0.177 eV/atom
raw total energy = -3.0984 eV per atom

abc: 7.546 7.546 7.546
angles: 90.00 90.00 90.00
Space group Fm-3m (No. 225)
Symmetry-distinct sites (fractional):
Al  0.000  0.000  0.000 [4 per cell]
In  0.250  0.250  0.250 [8 per cell]
Bi  0.000  0.000  0.500 [4 per cell]



Record 19
DFT (PBE-GGA) results for a relaxed AlIn2Bi crystal.

Properties
formation energy from the elements = 0.209 eV/atom
raw total energy = -3.0663 eV per atom

abc: 3.3260 3.3260 34.7350
angles: 90.00 90.00 120.00
Space group R-3m (No. 166, hexagonal axes)
Symmetry-distinct sites (fractional):
Al  0.0000  0.0000  0.0000 [3 per cell]
In  0.0000  0.0000  0.0817 [6 per cell]
Bi  0.0000  0.0000  0.5000 [3 per cell]



Record 20
DFT (PBE-GGA) results for a relaxed AlIn3Bi crystal.

Properties
formation energy from the elements = 0.286 eV/atom
raw total energy = -2.8813 eV per atom

abc: 5.345 5.345 5.345
angles: 90.00 90.00 90.00
Space group Pm-3m (No. 221)
Symmetry-distinct sites (fractional):
Al  0.000  0.000  0.000 [1 per cell]
In  0.000  0.000  0.500 [3 per cell]
Bi  0.500  0.500  0.500 [1 per cell]